The following is a DFT calculation (GGA-PBE) of crystalline AcNb2Ru2 at its relaxed geometry.

abc: 6.326 6.326 6.326
angles: 138.70 138.70 59.83
Positions (direct):
Ac (0.000, 0.000, 0.000)
Nb (0.250, 0.750, 0.500)
Nb (0.750, 0.250, 0.500)
Ru (0.374, 0.374, 0.000)
Ru (0.626, 0.626, 0.000)

Calculated values
final energy = -8.750 eV per atom
density of states at the Fermi level = 0.7957 states/eV per atom
energy of formation = -0.1897 eV/atom
space group = I4/mmm